This record from the Alexandria database describes a relaxed RbUCl5 crystal. The functional is PBE-GGA.

For the electronic total energy, the calculation gives -68.50 eV per cell. The value obtained for the formation energy from raw total energies is -1.823 eV/atom. The space-group type is C2/c, No. 15. The volume comes out at 40.01 Å³/atom.

Geometry as CIF:
```
data_RbUCl5
_chemical_formula_sum 'Rb2 U2 Cl10'
_symmetry_space_group_name_H-M 'P 1'
_symmetry_Int_Tables_number 1
_cell_length_a 7.7646
_cell_length_b 7.7646
_cell_length_c 10.8243
_cell_angle_alpha 70.64
_cell_angle_beta 70.64
_cell_angle_gamma 69.77
loop_
_symmetry_equiv_pos_as_xyz
'x,y,z'
loop_
_atom_site_label
_atom_site_type_symbol
_atom_site_fract_x
_atom_site_fract_y
_atom_site_fract_z
Cl1 Cl 0.6621 0.2255 0.4967
Cl2 Cl 0.0544 0.9456 0.2500
Cl3 Cl 0.2865 0.1382 0.8902
Cl4 Cl 0.7135 0.8618 0.1098
Cl5 Cl 0.3379 0.7745 0.5033
Cl6 Cl 0.8618 0.7135 0.6098
Cl7 Cl 0.9456 0.0544 0.7500
Cl8 Cl 0.2255 0.6621 0.9967
Cl9 Cl 0.7745 0.3379 0.0033
Cl10 Cl 0.1382 0.2865 0.3902
U1 U 0.0000 0.0000 0.5000
U2 U 0.0000 0.0000 0.0000
Rb1 Rb 0.5403 0.4597 0.7500
Rb2 Rb 0.4597 0.5403 0.2500
```